A) {
  "formula": "NaSr2Sc",
  "functional": "PBE",
  "state": "optimized geometry",
  "mass_density_g_cm3": 2.47,
  "m_tot_mub_per_cell": 0.70,
  "lattice": [[0.0000, 4.3375, 4.3375], [4.3375, 0.0000, 4.3375], [4.3375, 4.3375, 0.0000]],
  "species": ["Na", "Sr", "Sr", "Sc"],
  "frac_coords": [[0.0000, 0.0000, 0.0000], [0.2500, 0.2500, 0.2500], [0.7500, 0.7500, 0.7500], [0.5000, 0.5000, 0.5000]]
}

B) {
  "formula": "NaSr2Sc",
  "functional": "PBE",
  "state": "optimized geometry",
  "mass_density_g_cm3": 2.47,
  "m_tot_mub_per_cell": 0.00,
  "lattice": [[4.0333, 0.0000, 0.0000], [0.0000, 4.0333, 0.0000], [0.0000, 0.0000, 10.0319]],
  "species": ["Na", "Sr", "Sr", "Sc"],
  "frac_coords": [[0.0000, 0.0000, 0.0000], [0.5000, 0.5000, 0.2717], [0.5000, 0.5000, 0.7283], [0.0000, 0.0000, 0.5000]]
}

Relative energy table, unit kJ/mol of atoms: A) 9.0; B) 0.0